Below is a crystal of SrZnOs2 relaxed with PBEsol, with properties calculated at the SCAN level.

The structure in CIF format:
```
data_SrZnOs2
_cell_length_a 2.813
_cell_length_b 2.813
_cell_length_c 9.701
_cell_angle_alpha 81.66
_cell_angle_beta 81.66
_cell_angle_gamma 60.00
_space_group_name_H-M_alt 'P 1'
_space_group_IT_number 1
_space_group_name_Hall 'P 1'
loop_
_atom_site_label
_atom_site_fract_x
_atom_site_fract_y
_atom_site_fract_z
_atom_site_occupancy
Os1 0.261 0.261 0.216 1
Zn1 0.000 0.000 0.000 1
Sr1 0.500 0.500 0.500 1
Os2 0.739 0.739 0.784 1
```

Output
* spin magnetization: 0.0000 μB/atom
* formation energy from the elements: 0.90 eV per atom
* space-group type: R-3m (166)